Record 1
BaCdGe2Mo GGA-PBE optimized geometry; space-group type = P4/mmm, No. 123; DFT formation energy = 2.251 eV per atom
1.0
-2.992 -0.217 4.634
4.290 -2.817 2.639
2.163 4.813 1.622
Mo Ge Ba Cd
1 2 1 1
Cartesian
1.731 0.889 4.447
1.081 2.407 0.811
-1.496 -0.109 2.317
0.000 0.000 0.000
2.145 -1.409 1.319



Record 2
Be8NbRu3 GGA-PBE optimized geometry; space-group type = P3m1, No. 156; DFT formation energy = -0.394 eV per atom
1.0
-4.037 -1.722 0.281
2.285 0.856 3.658
-2.813 6.628 0.205
Be Nb Ru
8 1 3
Cartesian
-1.215 3.280 2.634
0.173 0.008 2.533
-4.160 4.189 0.320
-3.038 4.610 2.116
-5.020 3.764 2.254
-0.586 1.587 1.308
0.564 2.017 3.148
-1.466 1.151 3.290
-1.582 3.729 0.115
-3.180 2.084 1.498
-2.103 -0.453 1.420
-2.614 6.160 0.191



Record 3
UTaTiNb GGA-PBE optimized geometry; space-group type = F-43m, No. 216; DFT formation energy = 0.186 eV per atom
1.0
4.728 0.000 0.000
2.364 4.095 0.000
2.364 1.365 3.861
Nb Ti U Ta
1 1 1 1
Cartesian
2.364 1.365 0.965
4.728 2.730 1.930
7.093 4.095 2.896
0.000 0.000 0.000



Record 4
BaTe2P GGA-PBE optimized geometry; space-group type = Pm, No. 6; energy relative to the elements, uncorrected = -272 kJ/mol of formula units
1.0
4.720 0.000 0.000
0.000 5.139 0.068
0.000 2.212 6.208
Ba Te P
1 2 1
Cartesian
0.000 3.249 3.221
0.000 0.567 0.628
2.360 5.770 4.021
2.360 1.440 1.543



Record 5
CaAlGa2 GGA-PBE optimized geometry; space-group type = Amm2, No. 38; DFT formation energy = -0.175 eV per atom
1.0
-1.874 -1.887 2.042
3.967 -3.256 0.632
0.846 3.336 3.858
Ca Al Ga
1 1 2
Cartesian
3.961 -3.244 0.638
1.139 -0.205 3.608
2.980 -2.166 3.485
1.169 -2.196 1.796



Record 6
Sc2SiSe GGA-PBE optimized geometry; space-group type = R3m, No. 160; energy relative to the elements, uncorrected = -414 kJ/mol of formula units; polymorph energy (0 for the lowest one) = 176.5 meV/atom
1.0
-2.832 2.410 0.865
-0.882 0.677 3.652
3.088 6.073 1.616
Sc Si Se
2 1 1
Cartesian
2.091 4.910 1.591
-0.243 2.189 1.531
0.592 8.108 4.627
-0.291 4.605 3.067